Ho3AlAg3Te8, optimized geometry, DFT GGA-PBE; electronic total energy = -4.10 eV/atom; N(E_F) = 5.38 states/eV/f.u.; volume = 453 Å³ per cell; formation energy without anion corrections = -0.694 eV per atom; symmetry = R-3m
1.0
4.331 2.501 6.971
-4.331 2.501 6.971
0.000 -5.001 6.971
Ho Al Ag Te
3 1 3 8
Cartesian
-2.166 -1.250 6.971
-2.166 1.250 13.943
0.000 2.501 6.971
0.000 0.000 0.000
-4.331 0.000 10.457
-2.166 1.250 3.486
2.166 1.250 3.486
-2.322 -1.341 12.270
0.000 -2.681 8.644
-2.322 1.341 8.644
0.000 0.000 5.222
0.000 0.000 15.692
2.322 -1.341 12.270
0.000 2.681 12.270
2.322 1.341 8.644


RbNdAgO3, optimized geometry, DFT GGA-PBE; electronic total energy = -5.55 eV/atom; N(E_F) = 1.47 states/eV/f.u.; volume = 269 Å³ per cell; formation energy without anion corrections = -1.638 eV per atom; symmetry = P2_1/m
1.0
7.744 0.000 0.000
0.000 3.721 0.000
-3.744 0.000 9.337
Rb Nd Ag O
2 2 2 6
Cartesian
-0.929 0.930 3.121
4.929 2.791 6.217
1.198 2.791 5.997
2.802 0.930 3.340
-0.454 0.930 8.222
4.454 2.791 1.115
-0.430 0.930 6.096
1.308 2.791 3.656
2.998 0.930 0.943
1.002 2.791 8.394
2.693 0.930 5.681
4.430 2.791 3.241


ScTe2Ir, optimized geometry, DFT GGA-PBE; offset from the most stable computed form = 772 meV/atom; electronic total energy = -5.28 eV/atom; N(E_F) = 5.06 states/eV/f.u.; volume = 87 Å³ per cell; formation energy without anion corrections = 0.088 eV per atom; symmetry = F-43m
1.0
0.000 3.521 3.521
3.521 0.000 3.521
3.521 3.521 0.000
Sc Te Ir
1 2 1
Cartesian
0.000 0.000 0.000
3.521 3.521 3.521
5.281 5.281 5.281
1.760 1.760 1.760


V2CrSe6, optimized geometry, DFT GGA-PBE; offset from the most stable computed form = 0 meV/atom; electronic total energy = -6.03 eV/atom; N(E_F) = 5.86 states/eV/f.u.; volume = 204 Å³ per cell; formation energy without anion corrections = -0.609 eV per atom; symmetry = C2/m
1.0
8.360 -1.695 0.000
8.360 1.695 0.000
-3.166 0.000 7.204
V Cr Se
2 1 6
Cartesian
1.759 0.000 2.472
11.795 0.000 4.731
8.360 0.000 0.000
-0.641 0.000 1.702
4.174 0.000 3.057
2.809 0.000 6.481
10.745 0.000 0.723
9.380 0.000 4.147
14.195 0.000 5.502


VZnB, optimized geometry, DFT GGA-PBE; offset from the most stable computed form = 0 meV/atom; electronic total energy = -6.11 eV/atom; N(E_F) = 1.82 states/eV/f.u.; ΔH_f (0 K) = -0.4168 eV/atom; volume = 69 Å³ per cell; symmetry = R-3m
1.0
1.481 0.855 9.137
-1.481 0.855 9.137
0.000 -1.711 9.137
V Zn B
2 2 2
Cartesian
0.000 0.000 1.419
0.000 0.000 25.992
0.000 0.000 5.617
0.000 0.000 21.794
0.000 0.000 9.141
0.000 0.000 18.269


YMgCu, optimized geometry, DFT GGA-PBE; offset from the most stable computed form = 402 meV/atom; electronic total energy = -3.87 eV/atom; N(E_F) = 2.14 states/eV/f.u.; ΔH_f (0 K) = 0.1828 eV/atom; volume = 305 Å³ per cell; symmetry = Pmmn
1.0
3.403 0.000 0.000
0.000 12.504 0.000
0.000 0.000 7.170
Y Mg Cu
4 4 4
Cartesian
0.851 1.381 0.741
0.851 4.871 0.741
2.552 7.634 6.429
2.552 11.123 6.429
0.851 0.883 4.607
0.851 5.369 4.607
2.552 7.135 2.563
2.552 11.621 2.563
0.851 8.217 4.316
0.851 10.539 4.316
2.552 1.965 2.855
2.552 4.287 2.855


Ho2BeGePt6, optimized geometry, DFT GGA-PBE; electronic total energy = -6.21 eV/atom; N(E_F) = 3.62 states/eV/f.u.; ΔH_f (0 K) = -0.8390 eV/atom; volume = 183 Å³ per cell; symmetry = C2/m
1.0
4.908 -2.835 0.000
4.908 2.835 0.000
-3.263 0.000 6.566
Ho Be Ge Pt
2 1 1 6
Cartesian
1.642 0.000 0.856
4.910 0.000 5.710
-1.632 0.000 3.283
4.908 0.000 0.000
0.030 0.000 4.683
2.439 1.393 4.677
4.113 1.393 1.889
2.439 -1.393 4.677
4.113 -1.393 1.889
6.522 0.000 1.883


Pm3ErCd4, optimized geometry, DFT GGA-PBE; electronic total energy = -3.12 eV/atom; N(E_F) = 9.14 states/eV/f.u.; ΔH_f (0 K) = -0.3149 eV/atom; volume = 220 Å³ per cell; symmetry = P4/mmm
1.0
3.780 0.000 0.000
0.000 3.780 0.000
0.000 0.000 15.396
Pm Er Cd
3 1 4
Cartesian
0.000 0.000 0.000
0.000 0.000 3.917
0.000 0.000 11.479
0.000 0.000 7.698
1.890 1.890 1.946
1.890 1.890 5.920
1.890 1.890 9.476
1.890 1.890 13.449


TcW3Br, optimized geometry, DFT GGA-PBE; offset from the most stable computed form = 0 meV/atom; electronic total energy = -7.96 eV/atom; N(E_F) = 6.49 states/eV/f.u.; volume = 110 Å³ per cell; formation energy without anion corrections = 2.224 eV per atom; symmetry = Pm-3m
1.0
4.787 0.000 0.000
0.000 4.787 0.000
0.000 0.000 4.787
Tc W Br
1 3 1
Cartesian
0.000 0.000 0.000
0.000 0.000 2.393
0.000 2.393 0.000
2.393 0.000 0.000
2.393 2.393 2.393


SrY4W, optimized geometry, DFT GGA-PBE; electronic total energy = -5.79 eV/atom; N(E_F) = 8.92 states/eV/f.u.; ΔH_f (0 K) = 0.9607 eV/atom; volume = 188 Å³ per cell; symmetry = F-43m
1.0
0.000 4.545 4.545
4.545 0.000 4.545
4.545 4.545 0.000
Sr Y W
1 4 1
Cartesian
0.000 0.000 0.000
3.437 3.437 3.437
5.653 5.653 3.437
5.653 3.437 5.653
3.437 5.653 5.653
6.818 6.818 6.818


LiFe2Br, optimized geometry, DFT GGA-PBE; offset from the most stable computed form = 463 meV/atom; electronic total energy = -4.65 eV/atom; N(E_F) = 4.60 states/eV/f.u.; volume = 63 Å³ per cell; formation energy without anion corrections = 0.480 eV per atom; symmetry = Pmmm
1.0
3.379 0.000 0.000
0.000 3.397 0.000
0.000 0.000 5.466
Li Fe Br
1 2 1
Cartesian
0.000 0.000 0.000
1.689 1.699 1.135
1.689 1.699 4.331
0.000 0.000 2.733


NbTe3Pt, optimized geometry, DFT GGA-PBE; offset from the most stable computed form = 0 meV/atom; electronic total energy = -5.44 eV/atom; N(E_F) = 2.56 states/eV/f.u.; volume = 295 Å³ per cell; formation energy without anion corrections = -0.330 eV per atom; symmetry = Ama2
1.0
3.797 0.000 0.000
0.000 11.957 3.254
0.000 -11.957 3.254
Nb Te Pt
2 6 2
Cartesian
0.949 -7.921 3.254
2.848 7.921 3.254
0.949 1.606 1.332
0.949 -2.892 4.712
0.949 6.207 4.467
2.848 -1.606 1.332
2.848 -6.207 4.467
2.848 2.892 4.712
0.949 -3.266 2.060
2.848 3.266 2.060


Ba2SrPdPb, optimized geometry, DFT GGA-PBE; electronic total energy = -3.26 eV/atom; N(E_F) = 2.78 states/eV/f.u.; ΔH_f (0 K) = -0.3785 eV/atom; volume = 216 Å³ per cell; symmetry = P4/mmm
1.0
6.076 0.000 0.000
0.000 6.076 0.000
0.000 0.000 5.865
Ba Sr Pd Pb
2 1 1 1
Cartesian
0.000 3.038 0.000
3.038 0.000 0.000
0.000 0.000 2.932
0.000 0.000 0.000
3.038 3.038 2.932


TmPaNb, optimized geometry, DFT GGA-PBE; offset from the most stable computed form = 0 meV/atom; electronic total energy = -7.82 eV/atom; N(E_F) = 5.74 states/eV/f.u.; ΔH_f (0 K) = 0.1942 eV/atom; volume = 71 Å³ per cell; symmetry = I4mm
1.0
-1.768 1.768 5.672
1.768 -1.768 5.672
1.768 1.768 -5.672
Tm Pa Nb
1 1 1
Cartesian
0.000 0.000 0.000
0.000 0.000 3.498
0.000 0.000 7.713


UNi2GeN, optimized geometry, DFT GGA-PBE; electronic total energy = -7.82 eV/atom; N(E_F) = 4.75 states/eV/f.u.; volume = 135 Å³ per cell; formation energy without anion corrections = -0.662 eV per atom; symmetry = Cmcm
1.0
1.637 -5.896 0.000
1.637 5.896 0.000
0.000 0.000 6.973
U Ni Ge N
2 4 2 2
Cartesian
1.637 5.633 5.229
1.637 -5.633 1.743
1.637 1.928 3.857
1.637 1.928 6.601
1.637 -1.928 0.371
1.637 -1.928 3.115
1.637 2.981 1.743
1.637 -2.981 5.229
1.637 0.000 0.000
1.637 0.000 3.486


Cs2HfF6, optimized geometry, DFT GGA-PBE; electronic total energy = -6.03 eV/atom; N(E_F) = 0.00 states/eV/f.u.; volume = 417 Å³ per cell; formation energy without anion corrections = -3.488 eV per atom; symmetry = P2_1/c
1.0
6.700 0.000 0.000
0.000 8.387 0.000
-3.984 0.000 7.429
Cs Hf F
4 2 12
Cartesian
-0.067 0.475 2.381
-2.059 3.718 6.095
4.776 4.669 1.333
2.784 7.912 5.048
3.350 0.000 0.000
1.358 4.193 3.714
-2.408 0.947 7.270
-0.416 3.246 3.556
0.429 5.935 3.315
-1.563 6.646 7.030
-0.345 0.274 5.454
1.647 3.920 1.740
1.070 4.467 5.689
3.062 8.113 1.975
4.280 1.741 0.399
2.288 2.452 4.113
3.133 5.141 3.873
5.124 7.440 0.158


BaIn2Bi, optimized geometry, DFT GGA-PBE; electronic total energy = -3.08 eV/atom; N(E_F) = 2.07 states/eV/f.u.; ΔH_f (0 K) = -0.2624 eV/atom; volume = 301 Å³ per cell; symmetry = Cmcm
1.0
2.656 -6.204 0.000
2.656 6.204 0.000
0.000 0.000 9.138
Ba In Bi
2 4 2
Cartesian
2.656 5.439 6.854
2.656 -5.439 2.285
2.656 3.049 0.782
2.656 3.049 3.787
2.656 -3.049 5.351
2.656 -3.049 8.356
2.656 1.731 6.854
2.656 -1.731 2.285


SmEr6Sc6, optimized geometry, DFT GGA-PBE; electronic total energy = -5.16 eV/atom; N(E_F) = 27.78 states/eV/f.u.; ΔH_f (0 K) = 0.2268 eV/atom; volume = 383 Å³ per cell; symmetry = P6/mmm
1.0
6.379 0.000 0.000
-3.189 5.524 0.000
0.000 0.000 10.866
Sm Er Sc
1 6 6
Cartesian
0.000 0.000 0.000
0.000 0.000 3.706
0.000 0.000 7.160
0.000 3.683 0.000
0.000 3.683 5.433
3.189 1.841 0.000
3.189 1.841 5.433
-1.595 2.762 2.627
-1.595 2.762 8.240
3.189 0.000 2.627
3.189 0.000 8.240
1.595 2.762 2.627
1.595 2.762 8.240


PmB6Rh12, optimized geometry, DFT GGA-PBE; electronic total energy = -7.38 eV/atom; N(E_F) = 19.04 states/eV/f.u.; ΔH_f (0 K) = -0.3798 eV/atom; volume = 244 Å³ per cell; symmetry = R-3m
1.0
5.127 2.960 2.679
-5.127 2.960 2.679
0.000 -5.920 2.679
Pm B Rh
1 6 12
Cartesian
0.000 0.000 0.000
0.000 -2.579 3.045
-2.234 1.290 3.045
-2.234 -1.290 4.992
2.234 1.290 3.045
2.234 -1.290 4.992
0.000 2.579 4.992
-1.880 -3.256 4.019
-3.760 0.000 4.019
-1.354 -0.782 2.909
1.354 -0.782 2.909
0.000 1.564 2.909
1.880 -3.256 4.019
-1.880 3.256 4.019
0.000 -1.564 5.129
-1.354 0.782 5.129
1.354 0.782 5.129
3.760 0.000 4.019
1.880 3.256 4.019


TaTlI6, optimized geometry, DFT GGA-PBE; offset from the most stable computed form = 23 meV/atom; electronic total energy = -3.40 eV/atom; volume = 359 Å³ per cell; formation energy without anion corrections = -0.464 eV per atom; symmetry = R-3
1.0
3.840 2.217 7.020
-3.840 2.217 7.020
0.000 -4.434 7.020
Ta Tl I
1 1 6
Cartesian
0.000 0.000 0.000
0.000 0.000 10.529
-2.960 0.121 8.601
-1.585 -2.503 12.458
1.375 -2.624 8.601
-1.375 2.624 12.458
1.585 2.503 8.601
2.960 -0.121 12.458


HfTcAg2Br, optimized geometry, DFT GGA-PBE; electronic total energy = -4.17 eV/atom; N(E_F) = 5.74 states/eV/f.u.; volume = 143 Å³ per cell; formation energy without anion corrections = 1.365 eV per atom; symmetry = P4/mmm
1.0
5.354 0.000 0.000
0.000 5.354 0.000
0.000 0.000 4.996
Hf Tc Ag Br
1 1 2 1
Cartesian
0.000 0.000 0.000
2.677 2.677 2.498
0.000 2.677 0.000
2.677 0.000 0.000
0.000 0.000 2.498


Sr2NbZn2, optimized geometry, DFT GGA-PBE; offset from the most stable computed form = 0 meV/atom; electronic total energy = -2.89 eV/atom; N(E_F) = 5.69 states/eV/f.u.; ΔH_f (0 K) = 0.3087 eV/atom; volume = 273 Å³ per cell; symmetry = P4/mbm
1.0
7.362 0.000 0.000
0.000 7.362 0.000
0.000 0.000 5.042
Sr Nb Zn
4 2 4
Cartesian
1.322 2.359 0.000
2.359 6.040 0.000
5.003 1.322 0.000
6.040 5.003 0.000
0.000 0.000 2.521
3.681 3.681 2.521
0.987 4.668 2.521
2.694 0.987 2.521
4.668 6.375 2.521
6.375 2.694 2.521